Entry w
A relaxed AlV3H2 crystal. Source: the Alexandria database, functional GGA-PBE.

Cell lengths 4.547, 5.388, 5.388 Å; angles 113.09, 90.00, 90.00 degrees
Atoms (fractional coordinates):
Al  0.750  0.351  0.649
Al  0.250  0.649  0.351
V  0.250  0.130  0.870
V  0.250  0.589  0.846
V  0.750  0.846  0.589
V  0.250  0.154  0.411
V  0.750  0.411  0.154
V  0.750  0.870  0.130
H  0.000  0.846  0.846
H  0.500  0.846  0.846
H  0.000  0.154  0.154
H  0.500  0.154  0.154

Results
crystal system = orthorhombic
space-group type = Cmcm (63)

Entry x
A relaxed AlV3H2 crystal. Source: the Alexandria database, functional GGA-PBE.

Cell lengths 5.498, 5.498, 5.521 Å; angles 60.14, 60.14, 60.00 degrees
Atoms (fractional coordinates):
Al  0.758  0.758  0.725
Al  0.242  0.242  0.275
V  0.254  0.745  0.255
V  0.745  0.254  0.255
V  0.745  0.745  0.255
V  0.255  0.746  0.745
V  0.746  0.255  0.745
V  0.255  0.255  0.745
H  0.000  0.000  0.000
H  0.000  0.500  0.000
H  0.500  0.500  0.000
H  0.500  0.000  0.000

Results
crystal system = trigonal
space-group type = R-3m (166)

It is entry x that is the least stable of them.

Entry w
A relaxed AlV2H2 crystal. Source: the Alexandria database, functional GGA-PBE.

Cell lengths 5.288, 5.288, 4.767 Å; angles 104.22, 104.22, 123.84 degrees
Atoms (fractional coordinates):
Al  0.500  0.500  0.000
Al  0.750  0.250  0.500
V  0.841  0.841  0.682
V  0.159  0.159  0.318
V  0.091  0.591  0.182
V  0.409  0.909  0.818
H  0.133  0.867  0.000
H  0.867  0.133  0.000
H  0.117  0.883  0.500
H  0.383  0.617  0.500

Results
crystal system = orthorhombic
space-group type = Fddd (70)

Entry x
A relaxed AlV2H2 crystal. Source: the Alexandria database, functional GGA-PBE.

Cell lengths 3.292, 3.292, 4.916 Å; angles 70.44, 70.44, 90.00 degrees
Atoms (fractional coordinates):
H  0.750  0.250  0.500
H  0.250  0.750  0.500
Al  0.000  0.000  0.000
V  0.332  0.332  0.335
V  0.668  0.668  0.665

Results
crystal system = tetragonal
space-group type = I4/mmm (139)

It is entry w that is the least stable of them.

Entry w
A relaxed AlV3H3 crystal. Source: the Alexandria database, functional GGA-PBE.

Cell lengths 5.446, 5.446, 6.732 Å; angles 66.14, 66.14, 60.00 degrees
Atoms (fractional coordinates):
Al  0.333  0.333  0.001
Al  0.667  0.667  0.999
V  0.495  0.743  0.643
V  0.743  0.119  0.643
V  0.119  0.495  0.643
V  0.881  0.505  0.357
V  0.257  0.881  0.357
V  0.505  0.257  0.357
H  0.178  0.594  0.342
H  0.885  0.178  0.342
H  0.594  0.885  0.342
H  0.406  0.115  0.658
H  0.115  0.822  0.658
H  0.822  0.406  0.658

Results
crystal system = trigonal
space-group type = R-3 (148)

Entry x
A relaxed AlV3H3 crystal. Source: the Alexandria database, functional GGA-PBE.

Cell lengths 5.012, 5.012, 5.012 Å; angles 90.00, 90.00, 90.00 degrees
Atoms (fractional coordinates):
H  0.250  0.000  0.500
H  0.000  0.500  0.250
H  0.500  0.750  0.000
H  0.750  0.000  0.500
H  0.000  0.500  0.750
H  0.500  0.250  0.000
Al  0.500  0.500  0.500
Al  0.000  0.000  0.000
V  0.000  0.250  0.500
V  0.000  0.750  0.500
V  0.500  0.000  0.750
V  0.750  0.500  0.000
V  0.500  0.000  0.250
V  0.250  0.500  0.000

Results
crystal system = cubic
space-group type = Pm-3n (223)

It is entry w that is the least stable of them.

Entry w
A relaxed Al2V6H crystal. Source: the Alexandria database, functional GGA-PBE.

Cell lengths 5.190, 5.190, 8.392 Å; angles 90.00, 90.00, 90.00 degrees
Atoms (fractional coordinates):
Al  0.000  0.500  0.750
Al  0.500  0.000  0.750
Al  0.500  0.000  0.250
Al  0.000  0.500  0.250
V  0.000  0.000  0.249
V  0.748  0.748  0.500
V  0.762  0.762  0.000
V  0.738  0.262  0.500
V  0.752  0.248  0.000
V  0.500  0.500  0.251
V  0.000  0.000  0.751
V  0.252  0.252  0.500
V  0.238  0.238  0.000
V  0.262  0.738  0.500
V  0.248  0.752  0.000
V  0.500  0.500  0.749
H  0.500  0.500  0.000
H  0.000  0.000  0.500

Results
crystal system = tetragonal
space-group type = P4_2/mnm (136)

Entry x
A relaxed Al2V6H crystal. Source: the Alexandria database, functional GGA-PBE.

Cell lengths 4.310, 5.108, 5.780 Å; angles 116.21, 90.00, 90.00 degrees
Atoms (fractional coordinates):
Al  0.500  0.750  0.500
Al  0.500  0.250  0.500
V  0.000  0.385  0.263
V  0.000  0.122  0.737
V  0.000  0.615  0.737
V  0.500  0.253  0.000
V  0.000  0.878  0.263
V  0.500  0.747  0.000
H  0.000  0.000  0.000

Results
crystal system = orthorhombic
space-group type = Cmmm (65)

It is entry x that is the least stable of them.

Entry w
A relaxed AlHW2 crystal. Source: the Alexandria database, functional GGA-PBE.

Cell lengths 4.233, 4.233, 4.233 Å; angles 60.00, 60.00, 60.00 degrees
Atoms (fractional coordinates):
H  0.000  0.000  0.000
Al  0.500  0.500  0.500
W  0.250  0.250  0.250
W  0.750  0.750  0.750

Results
crystal system = cubic
space-group type = Fm-3m (225)

Entry x
A relaxed AlHW2 crystal. Source: the Alexandria database, functional GGA-PBE.

Cell lengths 6.084, 6.084, 5.132 Å; angles 53.64, 53.64, 90.00 degrees
Atoms (fractional coordinates):
H  0.500  0.500  0.000
H  0.250  0.750  0.500
Al  0.000  0.000  0.000
Al  0.750  0.250  0.500
W  0.233  0.125  0.250
W  0.517  0.625  0.250
W  0.375  0.767  0.750
W  0.875  0.483  0.750

Results
crystal system = tetragonal
space-group type = I-42d (122)

It is entry w that is the least stable of them.

Entry w
A relaxed Al3HW crystal. Source: the Alexandria database, functional GGA-PBE.

Cell lengths 3.982, 3.982, 3.982 Å; angles 90.00, 90.00, 90.00 degrees
Atoms (fractional coordinates):
H  0.000  0.000  0.000
Al  0.000  0.500  0.000
Al  0.000  0.000  0.500
Al  0.500  0.000  0.000
W  0.500  0.500  0.500

Results
crystal system = cubic
space-group type = Pm-3m (221)

Entry x
A relaxed Al3HW crystal. Source: the Alexandria database, functional GGA-PBE.

Cell lengths 4.955, 4.955, 4.955 Å; angles 90.00, 90.00, 90.00 degrees
Last column: magnetic moment on the atom in μB.
Atoms (fractional coordinates):
H  0.500  0.500  0.500  0.34
Al  0.000  0.500  0.000  0.00
Al  0.000  0.000  0.500  0.00
Al  0.500  0.000  0.000  0.01
W  0.000  0.000  0.000  0.29

Results
crystal system = cubic
space-group type = Pm-3m (221)

It is entry x that is the least stable of them.

Entry w
A relaxed Zr2AlHW crystal. Source: the Alexandria database, functional GGA-PBE.

Cell lengths 5.038, 4.939, 5.038 Å; angles 90.00, 90.00, 90.00 degrees
Atoms (fractional coordinates):
H  0.500  0.500  0.500
Zr  0.000  0.000  0.500
Zr  0.500  0.000  0.000
W  0.000  0.000  0.000
Al  0.000  0.500  0.000

Results
crystal system = tetragonal
space-group type = P4/mmm (123)

Entry x
A relaxed Zr2AlHW crystal. Source: the Alexandria database, functional GGA-PBE.

Cell lengths 4.615, 4.615, 3.715 Å; angles 90.00, 90.00, 90.00 degrees
Atoms (fractional coordinates):
H  0.000  0.000  0.000
Zr  0.000  0.500  0.000
Zr  0.500  0.000  0.000
W  0.000  0.000  0.500
Al  0.500  0.500  0.500

Results
crystal system = tetragonal
space-group type = P4/mmm (123)

It is entry w that is the least stable of them.

Entry w
A relaxed YAlH2 crystal. Source: the Alexandria database, functional GGA-PBE.

Cell lengths 4.129, 4.129, 4.129 Å; angles 60.00, 60.00, 60.00 degrees
Atoms (fractional coordinates):
Y  0.500  0.500  0.500
H  0.250  0.250  0.250
H  0.750  0.750  0.750
Al  0.000  0.000  0.000

Results
crystal system = cubic
space-group type = Fm-3m (225)

Entry x
A relaxed YAlH2 crystal. Source: the Alexandria database, functional GGA-PBE.

Cell lengths 4.517, 4.517, 6.082 Å; angles 68.20, 68.20, 90.00 degrees
Atoms (fractional coordinates):
Y  0.000  0.000  0.000
Y  0.750  0.250  0.500
H  0.582  0.125  0.250
H  0.168  0.625  0.250
H  0.375  0.418  0.750
H  0.875  0.832  0.750
Al  0.500  0.500  0.000
Al  0.250  0.750  0.500

Results
crystal system = tetragonal
space-group type = I-42d (122)

It is entry w that is the least stable of them.

Entry w
A relaxed YAlH crystal. Source: the Alexandria database, functional GGA-PBE.

Cell lengths 4.530, 6.697, 14.076 Å; angles 82.49, 71.47, 89.94 degrees
Atoms (fractional coordinates):
Y  0.366  0.910  0.459
Y  0.623  0.015  0.192
Y  0.615  0.042  0.694
Y  0.345  0.085  0.981
Y  0.760  0.543  0.044
Y  0.746  0.543  0.566
Y  0.486  0.490  0.326
Y  0.025  0.361  0.791
H  0.362  0.153  0.335
H  0.526  0.846  0.075
H  0.274  0.106  0.837
H  0.518  0.833  0.594
H  0.794  0.202  0.019
H  0.733  0.341  0.187
H  0.598  0.362  0.722
H  0.330  0.556  0.492
Al  0.911  0.202  0.410
Al  0.135  0.332  0.187
Al  0.244  0.257  0.563
Al  0.421  0.634  0.880
Al  0.977  0.813  0.337
Al  0.946  0.876  0.858
Al  0.144  0.727  0.154
Al  0.119  0.769  0.676

Results
crystal system = triclinic
space-group type = P1 (1)

Entry x
A relaxed YAlH crystal. Source: the Alexandria database, functional GGA-PBE.

Cell lengths 3.113, 3.113, 5.967 Å; angles 105.12, 105.12, 90.00 degrees
Last column: magnetic moment on the atom in μB.
Atoms (fractional coordinates):
Y  0.724  0.724  0.449  0.16
H  0.267  0.267  0.534  0.00
Al  0.009  0.009  0.017  0.00

Results
crystal system = tetragonal
space-group type = I4mm (107)

It is entry x that is the least stable of them.

Entry w
A relaxed Y3AlH crystal. Source: the Alexandria database, functional GGA-PBE.

Cell lengths 3.622, 9.062, 7.430 Å; angles 90.92, 89.94, 101.48 degrees
Atoms (fractional coordinates):
Y  0.203  0.408  0.666
Y  0.641  0.285  0.049
Y  0.987  0.974  0.250
Y  0.797  0.592  0.334
Y  0.013  0.026  0.750
Y  0.359  0.715  0.951
Al  0.397  0.795  0.548
Al  0.603  0.205  0.452
H  0.123  0.247  0.893
H  0.877  0.753  0.107

Results
crystal system = triclinic
space-group type = P-1 (2)

Entry x
A relaxed Y3AlH crystal. Source: the Alexandria database, functional GGA-PBE.

Cell lengths 4.787, 4.787, 4.787 Å; angles 90.00, 90.00, 90.00 degrees
Last column: magnetic moment on the atom in μB.
Atoms (fractional coordinates):
Y  0.000  0.500  0.000  0.32
Y  0.000  0.000  0.500  0.26
Y  0.500  0.000  0.000  0.25
H  0.000  0.000  0.000  -0.01
Al  0.500  0.500  0.500  -0.01

Results
crystal system = cubic
space-group type = Pm-3m (221)

It is entry w that is the least stable of them.

Entry w
A relaxed Al2ZnH2 crystal. Source: the Alexandria database, functional GGA-PBE.

Cell lengths 6.644, 6.644, 2.619 Å; angles 90.00, 90.00, 90.00 degrees
Atoms (fractional coordinates):
H  0.395  0.895  0.000
H  0.895  0.605  0.000
H  0.605  0.105  0.000
H  0.105  0.395  0.000
Zn  0.000  0.000  0.000
Zn  0.500  0.500  0.000
Al  0.140  0.640  0.500
Al  0.640  0.860  0.500
Al  0.860  0.360  0.500
Al  0.360  0.140  0.500

Results
crystal system = tetragonal
space-group type = P4/mbm (127)

Entry x
A relaxed Al2ZnH2 crystal. Source: the Alexandria database, functional GGA-PBE.

Cell lengths 3.054, 3.054, 6.213 Å; angles 75.77, 75.77, 90.00 degrees
Atoms (fractional coordinates):
H  0.750  0.250  0.500
H  0.250  0.750  0.500
Zn  0.000  0.000  0.000
Al  0.355  0.355  0.290
Al  0.645  0.645  0.710

Results
crystal system = tetragonal
space-group type = I4/mmm (139)

It is entry w that is the least stable of them.

Entry w
A relaxed Al2ZnH crystal. Source: the Alexandria database, functional GGA-PBE.

Cell lengths 2.771, 2.771, 8.499 Å; angles 80.62, 80.62, 60.00 degrees
Atoms (fractional coordinates):
H  0.500  0.500  0.500
Zn  0.000  0.000  0.000
Al  0.110  0.110  0.670
Al  0.890  0.890  0.330

Results
crystal system = trigonal
space-group type = R-3m (166)

Entry x
A relaxed Al2ZnH crystal. Source: the Alexandria database, functional GGA-PBE.

Cell lengths 4.249, 4.249, 4.249 Å; angles 60.00, 60.00, 60.00 degrees
Atoms (fractional coordinates):
H  0.000  0.000  0.000
Zn  0.500  0.500  0.500
Al  0.250  0.250  0.250
Al  0.750  0.750  0.750

Results
crystal system = cubic
space-group type = Fm-3m (225)

It is entry x that is the least stable of them.